Computed, not measured: a geometry-optimized ScSiIrRu structure at the GGA-PBE level of DFT.

POSCAR file:
```
ScSiIrRu
1.0
0.000 3.068 3.068
3.068 0.000 3.068
3.068 3.068 0.000
Sc Si Ir Ru
1 1 1 1
Cartesian
0.000 0.000 0.000
3.068 3.068 3.068
4.603 4.603 4.603
1.534 1.534 1.534
```

Properties
Symmetry: F-43m, No. 216
Magnetization in μB/cell: 0.00
Uncorrected formation energy in eV per atom: -0.821